[1]
# Cd2Ag7Hg2

Cd2Ag7Hg2 after structural relaxation (PBE-GGA, Alexandria).

POSCAR file:
```
Cd2Ag7Hg2
1.0
4.873 -4.964 0.000
4.873 4.964 0.000
-2.311 0.000 4.590
Cd Ag Hg
2 7 2
Direct
0.100 0.100 0.327
0.900 0.900 0.673
0.088 0.571 0.329
0.242 0.242 0.946
0.429 0.912 0.671
0.500 0.500 0.500
0.571 0.088 0.329
0.758 0.758 0.054
0.912 0.429 0.671
0.318 0.682 0.000
0.682 0.318 0.000
```

## Properties
The density of states at the Fermi level is 2.90 states/eV/f.u. The calculation puts the total energy at -21.8 eV for the cell shown. As for the space group: No. 12. For the energy above the most stable polymorph in this dataset, the calculation gives 4 meV/atom.

[2]
# DyScZn3

DyScZn3 after structural relaxation (PBE-GGA, Alexandria).

POSCAR file:
```
DyScZn3
1.0
8.545 -2.186 0.000
8.545 2.186 0.000
-1.186 0.000 5.315
Dy Sc Zn
2 2 6
Direct
0.072 0.072 0.303
0.928 0.928 0.697
0.277 0.277 0.323
0.723 0.723 0.677
0.147 0.147 0.853
0.324 0.324 0.851
0.446 0.446 0.245
0.554 0.554 0.755
0.676 0.676 0.149
0.853 0.853 0.147
```

## Properties
The density of states at the Fermi level is 2.04 states/eV/f.u. The calculation puts the total energy at -32.5 eV for the cell shown. As for the space group: No. 12.

[3]
# Th2RuPb

Th2RuPb after structural relaxation (PBE-GGA, Alexandria).

POSCAR file:
```
Th2RuPb
1.0
2.018 1.165 8.419
-2.018 1.165 8.419
0.000 -2.330 8.419
Th Ru Pb
2 1 1
Direct
0.230 0.230 0.230
0.770 0.770 0.770
0.500 0.500 0.500
0.000 0.000 0.000
```

## Properties
The density of states at the Fermi level is 4.28 states/eV/f.u. The calculation puts the total energy at -29.3 eV for the cell shown. As for the space group: No. 166. For the energy above the most stable polymorph in this dataset, the calculation gives 59 meV/atom.

[4]
# Ni2RuCl

Ni2RuCl after structural relaxation (PBE-GGA, Alexandria).

POSCAR file:
```
Ni2RuCl
1.0
2.784 0.000 0.000
0.000 4.299 0.000
0.000 0.000 4.406
Ni Ru Cl
2 1 1
Direct
0.000 0.000 0.000
0.500 0.500 0.000
0.000 0.500 0.500
0.500 0.000 0.500
```

## Properties
The density of states at the Fermi level is 6.50 states/eV/f.u. The calculation puts the total energy at -20.0 eV for the cell shown. As for the space group: No. 47. Its formation energy (no corrections) is 679 meV per atom. For the energy above the most stable polymorph in this dataset, the calculation gives 410 meV/atom.

[5]
# Ba2TcNO3

Ba2TcNO3 after structural relaxation (PBE-GGA, Alexandria).

POSCAR file:
```
Ba2TcNO3
1.0
-1.967 2.018 6.936
1.967 -2.018 6.936
1.967 2.018 -6.936
Ba Tc N O
2 1 1 3
Direct
0.147 0.147 0.000
0.853 0.853 0.000
0.500 0.500 0.000
0.500 0.000 0.500
0.000 0.500 0.500
0.346 0.346 0.000
0.654 0.654 0.000
```

## Properties
The density of states at the Fermi level is 3.01 states/eV/f.u. The calculation puts the total energy at -49.8 eV for the cell shown. As for the space group: No. 71. Its formation energy (no corrections) is -1775 meV per atom.

[6]
# RbBeRh2

RbBeRh2 after structural relaxation (PBE-GGA, Alexandria).

POSCAR file:
```
RbBeRh2
1.0
-2.479 2.479 7.764
2.479 -2.479 7.764
2.479 2.479 -7.764
Rb Be Rh
2 2 4
Direct
0.375 0.625 0.750
0.625 0.375 0.250
0.125 0.875 0.250
0.875 0.125 0.750
0.000 0.000 0.000
0.000 0.000 0.500
0.000 0.500 0.000
0.500 0.000 0.500
```

## Properties
The density of states at the Fermi level is 4.16 states/eV/f.u. The calculation puts the total energy at -33.5 eV for the cell shown. As for the space group: No. 141.

[7]
# Ce2InSi3Rh4

Ce2InSi3Rh4 after structural relaxation (PBE-GGA, Alexandria).

POSCAR file:
```
Ce2InSi3Rh4
1.0
4.144 0.000 0.000
0.000 4.144 0.000
0.000 0.000 10.516
Ce In Si Rh
2 1 3 4
Direct
0.000 0.500 0.245
0.500 0.000 0.755
0.000 0.000 0.500
0.000 0.500 0.880
0.500 0.000 0.120
0.500 0.500 0.500
0.000 0.000 0.000
0.000 0.500 0.655
0.500 0.000 0.345
0.500 0.500 0.000
```

## Properties
The density of states at the Fermi level is 10.11 states/eV/f.u. The calculation puts the total energy at -69.1 eV for the cell shown. As for the space group: No. 115. Its formation energy (no corrections) is -886 meV per atom.

[8]
# La2Tb3Sm2

La2Tb3Sm2 after structural relaxation (PBE-GGA, Alexandria).

POSCAR file:
```
La2Tb3Sm2
1.0
6.279 0.000 0.000
-1.029 6.212 0.000
-2.124 -2.514 12.185
La Tb Sm
4 6 4
Direct
0.071 0.141 0.141
0.072 0.142 0.643
0.928 0.858 0.357
0.929 0.859 0.859
0.217 0.430 0.929
0.359 0.714 0.714
0.500 0.000 0.000
0.500 0.000 0.500
0.641 0.286 0.286
0.783 0.570 0.071
0.217 0.429 0.429
0.359 0.714 0.213
0.641 0.286 0.787
0.783 0.571 0.571
```

## Properties
The density of states at the Fermi level is 10.72 states/eV/f.u. The calculation puts the total energy at -66.1 eV for the cell shown. As for the space group: No. 2. For the energy above the most stable polymorph in this dataset, the calculation gives 0 meV/atom.

Copy entry 7 word for word.
# Ce2InSi3Rh4

Ce2InSi3Rh4 after structural relaxation (PBE-GGA, Alexandria).

POSCAR file:
```
Ce2InSi3Rh4
1.0
4.144 0.000 0.000
0.000 4.144 0.000
0.000 0.000 10.516
Ce In Si Rh
2 1 3 4
Direct
0.000 0.500 0.245
0.500 0.000 0.755
0.000 0.000 0.500
0.000 0.500 0.880
0.500 0.000 0.120
0.500 0.500 0.500
0.000 0.000 0.000
0.000 0.500 0.655
0.500 0.000 0.345
0.500 0.500 0.000
```

## Properties
The density of states at the Fermi level is 10.11 states/eV/f.u. The calculation puts the total energy at -69.1 eV for the cell shown. As for the space group: No. 115. Its formation energy (no corrections) is -886 meV per atom.